Entry 1:
Here is a relaxed RbUTeAuSeS crystal from OQMD via LeMat-Bulk. Energies are from PBE.

The structure belongs to space group C2/m (No. 12); the cell edges are 16.179, 4.183 and 11.097 Å and the angles 90.00°, 90.47° and 90.00°. The asymmetric unit holds Rb at (0.222, 0.000, 0.240), U at (0.000, 0.000, 0.000), U at (0.000, 0.000, 0.500), Te at (0.087, 0.000, 0.752), Au at (0.028, 0.500, 0.252), Se at (0.116, 0.500, 0.449) and S at (0.103, 0.500, 0.056).

Its total energy is -127.49 eV per cell. Its calculated volume is 31.29 Å³/atom. For the total magnetization, the calculation gives 0.33 μB/atom. Its crystal system is monoclinic.


Entry 2:
Here is a relaxed ZrMo crystal from OQMD via LeMat-Bulk. Energies are from PBE.

The structure belongs to space group P2_1/m (No. 11); the cell edges are 6.601, 4.908 and 7.167 Å and the angles 90.00°, 103.22° and 90.00°. The asymmetric unit holds Zr at (0.126, 0.250, 0.028), Zr at (0.288, 0.250, 0.654), Zr at (0.364, 0.750, 0.979), Mo at (0.039, 0.750, 0.650), Mo at (0.216, 0.750, 0.357) and Mo at (0.463, 0.250, 0.348).

The value obtained for the energy above the most stable polymorph in this dataset is 59 meV/atom. For the energy of formation, the calculation gives 13 kJ/mol of formula units. Its total energy is -115.57 eV per cell. Its calculated volume is 18.84 Å³/atom. For the total magnetization, the calculation gives 0.00 μB/atom. Its crystal system is monoclinic.


Entry 3:
Here is a relaxed DyMgTe crystal from OQMD via LeMat-Bulk. Energies are from PBE.

The structure belongs to space group F-43m (No. 216); the cell edges are 7.200, 7.200 and 7.200 Å and the angles 90.00°, 90.00° and 90.00°. The asymmetric unit holds Dy at (0.000, 0.000, 0.000), Mg at (0.000, 0.000, 0.500) and Te at (0.250, 0.250, 0.250).

The value obtained for the energy above the most stable polymorph in this dataset is 0 meV/atom. Its total energy is -39.94 eV per cell. Its calculated volume is 31.10 Å³/atom. For the total magnetization, the calculation gives 0.23 μB/atom. Its crystal system is cubic.


Entry 4:
Here is a relaxed FeCoCuSi crystal from OQMD via LeMat-Bulk. Energies are from PBE.

The structure belongs to space group F-43m (No. 216); the cell edges are 5.578, 5.578 and 5.578 Å and the angles 90.00°, 90.00° and 90.00°. The asymmetric unit holds Fe at (0.000, 0.000, 0.000), Co at (0.000, 0.000, 0.500), Cu at (0.250, 0.250, 0.250) and Si at (0.250, 0.250, 0.750).

The value obtained for the energy above the most stable polymorph in this dataset is 0 meV/atom. Its total energy is -100.82 eV per cell. Its calculated volume is 10.85 Å³/atom. For the total magnetization, the calculation gives 0.35 μB/atom. Its crystal system is cubic.


Entry 5:
Here is a relaxed Sr2LiIrS6 crystal from OQMD via LeMat-Bulk. Energies are from PBE.

The structure belongs to space group C2/m (No. 12); the cell edges are 12.523, 5.509 and 7.610 Å and the angles 90.00°, 127.25° and 90.00°. The asymmetric unit holds Sr at (0.240, 0.000, 0.252), Li at (0.000, 0.500, 0.000), Ir at (0.000, 0.000, 0.500), S at (0.055, 0.272, 0.786) and S at (0.233, 0.000, 0.634).

The value obtained for the energy above the most stable polymorph in this dataset is 0 meV/atom. Its total energy is -96.06 eV per cell. Its calculated volume is 20.90 Å³/atom. For the total magnetization, the calculation gives 0.00 μB/atom. Its crystal system is monoclinic.


Entry 6:
Here is a relaxed GdSnBr2N crystal from OQMD via LeMat-Bulk. Energies are from PBE.

The structure belongs to space group P3m1 (No. 156); the cell edges are 3.7768, 3.7768 and 10.7071 Å and the angles 90.00°, 90.00° and 120.00°. The asymmetric unit holds Gd at (0.0000, 0.0000, 0.0000), Sn at (0.3333, 0.6667, 0.2569), Br at (0.0000, 0.0000, 0.4451), Br at (0.3333, 0.6667, 0.8158) and N at (0.6667, 0.3333, 0.0910).

Its total energy is -25.20 eV per cell. Its calculated volume is 26.45 Å³/atom. For the total magnetization, the calculation gives 0.00 μB/atom. Its crystal system is trigonal.


Entry 7:
Here is a relaxed SmTmAl crystal from OQMD via LeMat-Bulk. Energies are from PBE.

The structure belongs to space group F-43m (No. 216); the cell edges are 7.146, 7.146 and 7.146 Å and the angles 90.00°, 90.00° and 90.00°. The asymmetric unit holds Sm at (0.000, 0.000, 0.000), Tm at (0.250, 0.250, 0.750) and Al at (0.000, 0.000, 0.500).

The value obtained for the energy above the most stable polymorph in this dataset is 0 meV/atom. Its total energy is -45.74 eV per cell. Its calculated volume is 30.41 Å³/atom. For the total magnetization, the calculation gives 0.29 μB/atom. Its crystal system is cubic.


Entry 8:
Here is a relaxed YTmZr2Ge2 crystal from OQMD via LeMat-Bulk. Energies are from PBE.

The structure belongs to space group P4mm (No. 99); the cell edges are 4.182, 4.182 and 7.875 Å and the angles 90.00°, 90.00° and 90.00°. The asymmetric unit holds Y at (0.000, 0.000, 0.000), Tm at (0.500, 0.500, 0.304), Zr at (0.000, 0.500, 0.649), Ge at (0.000, 0.000, 0.383) and Ge at (0.500, 0.500, 0.915).

Its total energy is -41.57 eV per cell. Its calculated volume is 22.95 Å³/atom. For the total magnetization, the calculation gives 0.00 μB/atom. Its crystal system is tetragonal.


Entry 9:
Here is a relaxed GdTlGaTe3 crystal from OQMD via LeMat-Bulk. Energies are from PBE.

The structure belongs to space group Cmcm (No. 63); the cell edges are 4.708, 14.954 and 11.657 Å and the angles 90.00°, 90.00° and 90.00°. The asymmetric unit holds Gd at (0.000, 0.000, 0.000), Tl at (0.000, 0.245, 0.250), Ga at (0.000, 0.476, 0.750), Te at (0.000, 0.076, 0.750) and Te at (0.000, 0.365, 0.560).

Its total energy is -94.87 eV per cell. Its calculated volume is 34.20 Å³/atom. For the total magnetization, the calculation gives 0.00 μB/atom. Its crystal system is orthorhombic.


Entry 10:
Here is a relaxed PrCdInTe3 crystal from OQMD via LeMat-Bulk. Energies are from PBE.

The structure belongs to space group Cmcm (No. 63); the cell edges are 4.518, 15.246 and 11.883 Å and the angles 90.00°, 90.00° and 90.00°. The asymmetric unit holds Pr at (0.000, 0.000, 0.000), Cd at (0.000, 0.467, 0.250), In at (0.000, 0.240, 0.750), Te at (0.000, 0.087, 0.250) and Te at (0.000, 0.357, 0.058).

The value obtained for the energy above the most stable polymorph in this dataset is 4 meV/atom. Its total energy is -89.98 eV per cell. Its calculated volume is 34.10 Å³/atom. For the total magnetization, the calculation gives 0.00 μB/atom. Its crystal system is orthorhombic.


Entry 11:
Here is a relaxed YPdPbSe3 crystal from OQMD via LeMat-Bulk. Energies are from PBE.

The structure belongs to space group Cmcm (No. 63); the cell edges are 3.933, 14.211 and 10.632 Å and the angles 90.00°, 90.00° and 90.00°. The asymmetric unit holds Y at (0.000, 0.000, 0.000), Pd at (0.000, 0.469, 0.250), Pb at (0.000, 0.219, 0.750), Se at (0.000, 0.083, 0.250) and Se at (0.000, 0.357, 0.053).

Its total energy is -126.65 eV per cell. Its calculated volume is 24.76 Å³/atom. For the total magnetization, the calculation gives 0.00 μB/atom. Its crystal system is orthorhombic.


Entry 12:
Here is a relaxed CdGaPb crystal from OQMD via LeMat-Bulk. Energies are from PBE.

The structure belongs to space group Pnma (No. 62); the cell edges are 7.018, 4.579 and 9.600 Å and the angles 90.00°, 90.00° and 90.00°. The asymmetric unit holds Cd at (0.043, 0.250, 0.188), Ga at (0.206, 0.250, 0.876) and Pb at (0.159, 0.250, 0.563).

The value obtained for the energy above the most stable polymorph in this dataset is 22 meV/atom. Its total energy is -29.36 eV per cell. Its calculated volume is 25.71 Å³/atom. Its crystal system is orthorhombic.